A relaxed Cs3Er2USe6 crystal. Source: Alexandria, functional PBE.

Fermi-level density of states: 21.9 states/eV/cell
ΔE_f (raw): -18.319 eV per formula unit
total magnetic moment: 2.953 μB per formula unit

Unit cell a=7.3966 b=12.8098 c=8.7400 alpha=90.00 beta=106.39 gamma=90.00
Last column: nearest neighbours and their distance in Å.
Space group C2/m (No. 12)
Asymmetric unit:
Cs: 0.0000 0.0000 0.0000 [2 per cell]  6 Se 3.58-3.63
Cs: 0.0000 0.3335 0.0000 [4 per cell]  6 Se 3.58-3.63
Er: 0.0000 0.1666 0.5000 [4 per cell]  6 Se 2.90
U: 0.0000 0.5000 0.5000 [2 per cell]  6 Se 2.95
Se: 0.2229 0.0000 0.6853 [4 per cell]  2 Er 2.90, 1 U 2.95
Se: 0.2312 0.3306 0.6854 [8 per cell]  2 Er 2.90, 1 U 2.95